LiGa2CoMo | GGA-PBE | optimized geometry

Results
Crystal system: tetragonal
Calculated formation energy: 0.690 eV/atom

Lattice parameters (Å, degrees): 4.2258 4.2258 3.8061 90.00 90.00 90.00
Fractional coordinates of all 5 atoms:
1 Li 0.0000 0.0000 0.0000
2 Ga 0.0000 0.5000 0.0000
3 Ga 0.5000 0.0000 0.0000
4 Co 0.0000 0.0000 0.5000
5 Mo 0.5000 0.5000 0.5000